(w)
Si2TcOs: relaxed, GGA-PBEsol.

Summary:
V, Å³/atom: 12.99

Lattice parameters (Å, degrees): 4.5852 4.5852 4.3055 106.34 106.34 36.93
Last column: nearest neighbours and their distance in Å.
Fractional coordinates of all 4 atoms:
Si 0.0000 0.0000 0.0000  3 Os 2.45-2.50, 4 Tc 2.53-2.67, 2 Si 2.69
Si 0.2468 0.2468 0.6508  3 Tc 2.44-2.51, 4 Os 2.54-2.65, 2 Si 2.69
Tc 0.5012 0.5012 0.5199  7 Si 2.44-2.67
Os 0.7448 0.7448 0.1341  7 Si 2.45-2.65

***

(x)
Si2TcOs: relaxed, GGA-PBEsol.

Summary:
V, Å³/atom: 12.68

Lattice parameters (Å, degrees): 2.9374 2.9374 5.8771 90.00 90.00 90.00
Last column: nearest neighbours and their distance in Å.
Fractional coordinates of all 4 atoms:
Si 0.0000 0.0000 0.2468  4 Tc 2.53, 4 Os 2.55
Si 0.0000 0.0000 0.7532  4 Tc 2.53, 4 Os 2.55
Tc 0.5000 0.5000 0.0000  8 Si 2.53
Os 0.5000 0.5000 0.5000  8 Si 2.55

***

Winner for stability: (x)

***

(w)
Sm2Ge2O7: relaxed, GGA-PBEsol.

Summary:
V, Å³/atom: 11.55

Lattice parameters (Å, degrees): 7.1097 7.1097 7.1097 60.00 60.00 60.00
Last column: nearest neighbours and their distance in Å.
Fractional coordinates of all 22 atoms:
Sm 0.0000 0.0000 0.0000  2 O 2.18
Sm 0.0000 0.0000 0.5000  2 O 2.18
Sm 0.0000 0.5000 0.0000  2 O 2.18
Sm 0.5000 0.0000 0.0000  2 O 2.18
Ge 0.0000 0.5000 0.5000  6 O 1.93
Ge 0.5000 0.0000 0.5000  6 O 1.93
Ge 0.5000 0.5000 0.0000  6 O 1.93
Ge 0.5000 0.5000 0.5000  6 O 1.93
O 0.1250 0.1250 0.1250  4 Sm 2.18
O 0.1743 0.1743 0.5757  2 Ge 1.93
O 0.1743 0.5757 0.1743  2 Ge 1.93
O 0.1743 0.5757 0.5757  2 Ge 1.93
O 0.4243 0.4243 0.8257  2 Ge 1.93
O 0.4243 0.8257 0.4243  2 Ge 1.93
O 0.4243 0.8257 0.8257  2 Ge 1.93
O 0.5757 0.1743 0.1743  2 Ge 1.93
O 0.5757 0.1743 0.5757  2 Ge 1.93
O 0.5757 0.5757 0.1743  2 Ge 1.93
O 0.8257 0.4243 0.4243  2 Ge 1.93
O 0.8257 0.4243 0.8257  2 Ge 1.93
O 0.8257 0.8257 0.4243  2 Ge 1.93
O 0.8750 0.8750 0.8750  4 Sm 2.18

***

(x)
Sm2Ge2O7: relaxed, GGA-PBEsol.

Summary:
V, Å³/atom: 13.31

Lattice parameters (Å, degrees): 6.8872 6.9251 12.3085 93.56 90.72 92.18
Last column: nearest neighbours and their distance in Å.
Fractional coordinates of all 44 atoms:
Sm 0.0446 0.1423 0.3629  6 O 2.27-2.48
Sm 0.1850 0.6753 0.8848  7 O 2.36-2.48
Sm 0.2648 0.3485 0.6282  6 O 2.24-2.48
Sm 0.3146 0.0435 0.1145  7 O 2.31-2.47
Sm 0.6854 0.9565 0.8855  7 O 2.31-2.47
Sm 0.7352 0.6515 0.3718  6 O 2.24-2.48
Sm 0.8150 0.3247 0.1152  7 O 2.36-2.48
Sm 0.9554 0.8577 0.6371  6 O 2.27-2.48
Ge 0.1587 0.1566 0.8842  4 O 1.73-1.79
Ge 0.2500 0.6426 0.4076  4 O 1.74-1.83
Ge 0.3067 0.5139 0.1666  4 O 1.74-1.85
Ge 0.4197 0.8430 0.6270  4 O 1.72-1.80
Ge 0.5803 0.1570 0.3730  4 O 1.72-1.80
Ge 0.6933 0.4861 0.8334  4 O 1.74-1.85
Ge 0.7500 0.3574 0.5924  4 O 1.74-1.83
Ge 0.8414 0.8434 0.1158  4 O 1.73-1.79
O 0.0025 0.0064 0.1909  1 Ge 1.76
O 0.0612 0.8030 0.4148  1 Ge 1.74
O 0.0904 0.2262 0.0167  1 Ge 1.75
O 0.1029 0.3975 0.2232  1 Ge 1.76
O 0.1746 0.4201 0.4536  1 Ge 1.74
O 0.2249 0.3558 0.8133  1 Ge 1.73
O 0.2493 0.6843 0.6874  1 Ge 1.78
O 0.2600 0.0258 0.6039  1 Ge 1.74
O 0.2662 0.6981 0.0794  1 Ge 1.75
O 0.3455 0.9942 0.9150  1 Ge 1.79
O 0.3636 0.0874 0.3077  1 Ge 1.72
O 0.4081 0.6347 0.2938  2 Ge 1.78-1.85
O 0.4567 0.7181 0.4965  2 Ge 1.80-1.83
O 0.4728 0.3443 0.1218  1 Ge 1.74
O 0.5272 0.6557 0.8782  1 Ge 1.74
O 0.5433 0.2819 0.5035  2 Ge 1.80-1.83
O 0.5919 0.3653 0.7062  2 Ge 1.78-1.85
O 0.6364 0.9126 0.6923  1 Ge 1.72
O 0.6545 0.0058 0.0850  1 Ge 1.79
O 0.7338 0.3019 0.9206  1 Ge 1.75
O 0.7400 0.9742 0.3961  1 Ge 1.74
O 0.7507 0.3157 0.3126  1 Ge 1.78
O 0.7751 0.6442 0.1867  1 Ge 1.73
O 0.8254 0.5799 0.5464  1 Ge 1.74
O 0.8971 0.6025 0.7768  1 Ge 1.76
O 0.9096 0.7738 0.9833  1 Ge 1.75
O 0.9388 0.1970 0.5852  1 Ge 1.74
O 0.9975 0.9936 0.8091  1 Ge 1.76

***

Winner for stability: (w)

***

(w)
La5Mg: relaxed, GGA-PBEsol.

Summary:
V, Å³/atom: 32.14

Lattice parameters (Å, degrees): 7.9037 7.9037 5.1221 90.00 90.00 142.94
Last column: nearest neighbours and their distance in Å.
Fractional coordinates of all 6 atoms:
La 0.0000 0.0000 0.0000  8 La 3.50-3.63, 4 Mg 3.59
La 0.1714 0.8286 0.5000  10 La 3.44-3.63, 2 Mg 3.59
La 0.3370 0.6630 0.0000  10 La 3.50-3.62, 2 Mg 3.54
La 0.6630 0.3370 0.0000  10 La 3.50-3.62, 2 Mg 3.54
La 0.8286 0.1714 0.5000  10 La 3.44-3.63, 2 Mg 3.59
Mg 0.5000 0.5000 0.5000  12 La 3.54-3.59

***

(x)
La5Mg: relaxed, GGA-PBEsol.

Summary:
V, Å³/atom: 32.11

Lattice parameters (Å, degrees): 6.2128 6.2128 5.7644 90.00 90.00 120.00
Last column: nearest neighbours and their distance in Å.
Fractional coordinates of all 6 atoms:
La 0.0000 0.3186 0.0000  10 La 3.43-3.67, 2 Mg 3.50
La 0.3186 0.0000 0.0000  10 La 3.43-3.67, 2 Mg 3.50
La 0.3333 0.6667 0.5000  9 La 3.58-3.59, 3 Mg 3.59
La 0.6667 0.3333 0.5000  9 La 3.58-3.59, 3 Mg 3.59
La 0.6814 0.6814 0.0000  10 La 3.43-3.67, 2 Mg 3.50
Mg 0.0000 0.0000 0.5000  12 La 3.50-3.59

***

Winner for stability: (w)

***

(w)
BaHgPb2: relaxed, GGA-PBEsol.

Summary:
V, Å³/atom: 30.37

Lattice parameters (Å, degrees): 5.5590 5.5590 5.5590 60.00 60.00 60.00
Last column: nearest neighbours and their distance in Å.
Fractional coordinates of all 4 atoms:
Ba 0.0000 0.0000 0.0000  8 Pb 3.40
Hg 0.5000 0.5000 0.5000  8 Pb 3.40
Pb 0.2500 0.2500 0.2500  4 Ba 3.40, 4 Hg 3.40
Pb 0.7500 0.7500 0.7500  4 Hg 3.40, 4 Ba 3.40

***

(x)
BaHgPb2: relaxed, GGA-PBEsol.

Summary:
V, Å³/atom: 30.44

Lattice parameters (Å, degrees): 4.9375 4.9375 4.9950 90.00 90.00 90.00
Last column: nearest neighbours and their distance in Å.
Fractional coordinates of all 4 atoms:
Ba 0.0000 0.0000 0.0000  4 Hg 3.49, 8 Pb 3.51
Hg 0.5000 0.5000 0.0000  4 Ba 3.49, 8 Pb 3.51
Pb 0.0000 0.5000 0.5000  4 Pb 3.49, 4 Hg 3.51, 4 Ba 3.51
Pb 0.5000 0.0000 0.5000  4 Pb 3.49, 4 Hg 3.51, 4 Ba 3.51

***

Winner for stability: (x)

***

(w)
ScCr2Cl: relaxed, GGA-PBEsol.

Summary:
V, Å³/atom: 14.06

Lattice parameters (Å, degrees): 5.4550 5.4550 5.4550 147.16 140.02 52.67
Last column: nearest neighbours and their distance in Å.
Fractional coordinates of all 4 atoms:
Sc 0.0000 0.0000 0.0000  4 Cl 2.42
Cr 0.2501 0.7501 0.5000  4 Cr 2.42
Cr 0.7499 0.2499 0.5000  4 Cr 2.42
Cl 0.5000 0.5000 0.0000  4 Sc 2.42

***

(x)
ScCr2Cl: relaxed, GGA-PBEsol.

Summary:
V, Å³/atom: 18.50

Lattice parameters (Å, degrees): 5.2658 5.2658 3.0876 90.00 90.00 120.17
Last column: nearest neighbours and their distance in Å.
Fractional coordinates of all 4 atoms:
Sc 0.0000 0.0000 0.0000  2 Cl 2.63
Cr 0.0000 0.5000 0.5000  2 Cr 2.63
Cr 0.5000 0.0000 0.5000  2 Cr 2.63
Cl 0.5000 0.5000 0.0000  2 Sc 2.63

***

Winner for stability: (w)